(1)
# CaDyTlPb PBE relaxed
data_CaDyTlPb
_chemical_formula_sum 'Ca1 Dy1 Tl1 Pb1'
_cell_length_a 4.188
_cell_length_b 5.184
_cell_length_c 5.286
_cell_angle_alpha 90.00
_cell_angle_beta 90.00
_cell_angle_gamma 90.00
_symmetry_space_group_name_H-M 'P 1'
_symmetry_Int_Tables_number 1
loop_
_symmetry_equiv_pos_as_xyz
'x,y,z'
loop_
_atom_site_label
_atom_site_type_symbol
_atom_site_fract_x
_atom_site_fract_y
_atom_site_fract_z
Pb1 Pb 0.000 0.500 0.500
Dy1 Dy 0.500 0.000 0.500
Ca1 Ca 0.500 0.500 0.000
Tl1 Tl 0.000 0.000 0.000
# - space-group type = Pmmm, No. 47
# - electronic total energy (eV per cell) = -14.4
# - N(E_F) (states/eV per cell) = 1.93
# - energy of formation from the pure elements (eV per atom) = -0.419
# - magnetic moment (μB per atom) = 0.00


(2)
# CaAgSN2 PBE relaxed
data_CaAgSN2
_chemical_formula_sum 'Ca1 Ag1 S1 N2'
_cell_length_a 4.143
_cell_length_b 4.143
_cell_length_c 5.173
_cell_angle_alpha 90.00
_cell_angle_beta 90.00
_cell_angle_gamma 90.00
_symmetry_space_group_name_H-M 'P 1'
_symmetry_Int_Tables_number 1
loop_
_symmetry_equiv_pos_as_xyz
'x,y,z'
loop_
_atom_site_label
_atom_site_type_symbol
_atom_site_fract_x
_atom_site_fract_y
_atom_site_fract_z
Ca1 Ca 0.500 0.500 0.500
S1 S 0.000 0.000 0.500
Ag1 Ag 0.000 0.000 0.000
N1 N 0.000 0.500 0.000
N2 N 0.500 0.000 0.000
# - space-group type = P4/mmm, No. 123
# - formation energy without anion corrections (eV per atom) = 0.85
# - electronic total energy (eV per cell) = -21.4
# - N(E_F) (states/eV per cell) = 1.42
# - magnetic moment (μB per atom) = 0.56


(3)
# Ca2SmTlHg4 PBE relaxed
data_Ca2SmTlHg4
_chemical_formula_sum 'Ca2 Sm1 Tl1 Hg4'
_cell_length_a 5.303
_cell_length_b 5.303
_cell_length_c 9.401
_cell_angle_alpha 73.62
_cell_angle_beta 73.62
_cell_angle_gamma 60.00
_symmetry_space_group_name_H-M 'P 1'
_symmetry_Int_Tables_number 1
loop_
_symmetry_equiv_pos_as_xyz
'x,y,z'
loop_
_atom_site_label
_atom_site_type_symbol
_atom_site_fract_x
_atom_site_fract_y
_atom_site_fract_z
Ca1 Ca 0.258 0.258 0.227
Ca2 Ca 0.742 0.742 0.773
Tl1 Tl 0.000 0.000 0.000
Hg1 Hg 0.867 0.867 0.399
Hg2 Hg 0.380 0.380 0.859
Hg3 Hg 0.620 0.620 0.141
Hg4 Hg 0.133 0.133 0.601
Sm1 Sm 0.500 0.500 0.500
# - space-group type = R-3m, No. 166
# - electronic total energy (eV per cell) = -15.9
# - N(E_F) (states/eV per cell) = 4.08
# - energy of formation from the pure elements (eV per atom) = -0.446
# - magnetic moment (μB per atom) = 0.00


(4)
# ZrCuIr2Br PBE relaxed
data_ZrCuIr2Br
_chemical_formula_sum 'Zr1 Cu1 Ir2 Br1'
_cell_length_a 4.643
_cell_length_b 4.502
_cell_length_c 4.643
_cell_angle_alpha 90.00
_cell_angle_beta 90.00
_cell_angle_gamma 90.00
_symmetry_space_group_name_H-M 'P 1'
_symmetry_Int_Tables_number 1
loop_
_symmetry_equiv_pos_as_xyz
'x,y,z'
loop_
_atom_site_label
_atom_site_type_symbol
_atom_site_fract_x
_atom_site_fract_y
_atom_site_fract_z
Ir1 Ir 0.000 0.000 0.500
Ir2 Ir 0.500 0.000 0.000
Br1 Br 0.000 0.500 0.000
Zr1 Zr 0.500 0.500 0.500
Cu1 Cu 0.000 0.000 0.000
# - space-group type = P4/mmm, No. 123
# - formation energy without anion corrections (eV per atom) = 0.97
# - electronic total energy (eV per cell) = -27.2
# - N(E_F) (states/eV per cell) = 4.27
# - magnetic moment (μB per atom) = 0.00


(5)
# Mn3PtPb PBE relaxed
data_Mn3PtPb
_chemical_formula_sum 'Mn3 Pt1 Pb1'
_cell_length_a 4.902
_cell_length_b 4.902
_cell_length_c 4.902
_cell_angle_alpha 90.00
_cell_angle_beta 90.00
_cell_angle_gamma 90.00
_symmetry_space_group_name_H-M 'P 1'
_symmetry_Int_Tables_number 1
loop_
_symmetry_equiv_pos_as_xyz
'x,y,z'
loop_
_atom_site_label
_atom_site_type_symbol
_atom_site_fract_x
_atom_site_fract_y
_atom_site_fract_z
Pb1 Pb 0.500 0.500 0.500
Mn1 Mn 0.500 0.000 0.000
Mn2 Mn 0.000 0.000 0.500
Mn3 Mn 0.000 0.500 0.000
Pt1 Pt 0.000 0.000 0.000
# - space-group type = Pm-3m, No. 221
# - electronic total energy (eV per cell) = -34.4
# - N(E_F) (states/eV per cell) = 5.62
# - energy of formation from the pure elements (eV per atom) = 0.570
# - magnetic moment (μB per atom) = 2.57